Sr2Co2O5 | Alexandria via LeMat-Bulk | PBE with a Hubbard U | optimized geometry; V = 13.09 Å³ per atom; energy above the lowest structure with this stoichiometry = 44 meV per atom; N(E_F) = 0.73 states/eV/f.u.; space group = P4/mmm; electronic total energy = -54.38 eV/cell
1.0
-0.386 4.820 2.954
-5.193 0.868 -2.094
-1.446 -1.845 2.822
Sr Co O
2 2 5
direct
0.000 0.500 0.000
0.500 0.000 0.000
0.000 0.000 0.500
0.500 0.500 0.500
0.267 0.733 0.500
0.733 0.267 0.500
0.000 0.000 0.000
0.733 0.733 0.500
0.267 0.267 0.500